a.
Computed, not measured: BeB2H8 after structural relaxation at the GGA-PBE level of DFT.

Structure (CIF):
```
data_BeB2H8
_chemical_formula_sum 'Be16 B32 H128'
_cell_length_a 13.4483
_cell_length_b 13.4483
_cell_length_c 8.8128
_cell_angle_alpha 90.00
_cell_angle_beta 90.00
_cell_angle_gamma 90.00
_space_group_name_H-M_alt 'I 41 c d'
_space_group_IT_number 110
_space_group_name_Hall 'I 4bw -2c'
loop_
_atom_site_label
_atom_site_fract_x
_atom_site_fract_y
_atom_site_fract_z
_atom_site_occupancy
Be1 0.0866 0.3021 0.0000 1
B1 0.0503 0.3392 0.5080 1
B2 0.1370 0.1937 0.8708 1
H1 0.0027 0.2943 0.6103 1
H2 0.0104 0.3626 0.9050 1
H3 0.0809 0.4151 0.5632 1
H4 0.0845 0.1785 0.9823 1
H5 0.0938 0.1549 0.7635 1
H6 0.1094 0.2816 0.4550 1
H7 0.1496 0.2813 0.8377 1
H8 0.1593 0.2808 0.1502 1
```

Properties
crystal system: tetragonal
D(E_F): 0.00 states/eV/atom


b.
Computed, not measured: BeB2H8 after structural relaxation at the GGA-PBE level of DFT.

Structure (CIF):
```
data_BeB2H8
_chemical_formula_sum 'Be4 B8 H32'
_cell_length_a 10.9759
_cell_length_b 6.0379
_cell_length_c 6.3442
_cell_angle_alpha 90.00
_cell_angle_beta 124.70
_cell_angle_gamma 90.00
_space_group_name_H-M_alt 'C 1 2/c 1'
_space_group_IT_number 15
loop_
_space_group_symop_operation_xyz
'x,y,z'
'-x,-y,-z'
'-x,y,-z+1/2'
'x,-y,z+1/2'
'x+1/2,y+1/2,z'
'-x+1/2,-y+1/2,-z'
'-x+1/2,y+1/2,-z+1/2'
'x+1/2,-y+1/2,z+1/2'
loop_
_atom_site_label
_atom_site_fract_x
_atom_site_fract_y
_atom_site_fract_z
_atom_site_occupancy
Be1 0.0000 0.0365 0.2500 1
B1 0.0875 0.2158 0.5649 1
H1 0.0447 0.2294 0.1102 1
H2 0.1075 0.1468 0.7661 1
H3 0.1439 0.3950 0.6085 1
H4 0.1555 0.0852 0.5158 1
```

Properties
crystal system: monoclinic
D(E_F): 0.00 states/eV/atom


c.
Computed, not measured: BeB2H8 after structural relaxation at the GGA-PBE level of DFT.

Structure (CIF):
```
data_BeB2H8
_chemical_formula_sum 'Be2 B4 H16'
_cell_length_a 7.2799
_cell_length_b 6.7495
_cell_length_c 3.6716
_cell_angle_alpha 90.00
_cell_angle_beta 90.71
_cell_angle_gamma 90.00
_space_group_name_H-M_alt 'C 1 2/m 1'
_space_group_IT_number 12
loop_
_space_group_symop_operation_xyz
'x,y,z'
'-x,-y,-z'
'-x,y,-z'
'x,-y,z'
'x+1/2,y+1/2,z'
'-x+1/2,-y+1/2,-z'
'-x+1/2,y+1/2,-z'
'x+1/2,-y+1/2,z'
loop_
_atom_site_label
_atom_site_fract_x
_atom_site_fract_y
_atom_site_fract_z
_atom_site_occupancy
Be1 0.0000 0.0000 0.0000 1
B1 0.2002 0.0000 0.6716 1
H1 0.1239 0.1520 0.7969 1
H2 0.1400 0.5000 0.2433 1
H3 0.1747 0.0000 0.3424 1
```

Properties
crystal system: monoclinic
D(E_F): 0.00 states/eV/atom


Energies relative to the most stable structure are a 0; b 30; c 45, reported in meV per atom.


a.
Computed, not measured: BeBH3 after structural relaxation at the GGA-PBE level of DFT.

Structure (CIF):
```
data_BeBH3
_chemical_formula_sum 'Be1 B1 H3'
_cell_length_a 3.0928
_cell_length_b 3.0928
_cell_length_c 3.0928
_cell_angle_alpha 90.00
_cell_angle_beta 90.00
_cell_angle_gamma 90.00
_space_group_name_H-M_alt 'P m -3 m'
_space_group_IT_number 221
_space_group_name_Hall '-P 4 2 3'
loop_
_atom_site_label
_atom_site_fract_x
_atom_site_fract_y
_atom_site_fract_z
_atom_site_occupancy
Be1 0.0000 0.0000 0.0000 1
B1 0.5000 0.5000 0.5000 1
H1 0.0000 0.0000 0.5000 1
```

Properties
crystal system: cubic
D(E_F): 0.15 states/eV/atom


b.
Computed, not measured: BeBH3 after structural relaxation at the GGA-PBE level of DFT.

Structure (CIF):
```
data_BeBH3
_chemical_formula_sum 'Be1 B1 H3'
_cell_length_a 3.0083
_cell_length_b 3.0083
_cell_length_c 3.0083
_cell_angle_alpha 90.00
_cell_angle_beta 90.00
_cell_angle_gamma 90.00
_space_group_name_H-M_alt 'P m -3 m'
_space_group_IT_number 221
_space_group_name_Hall '-P 4 2 3'
loop_
_atom_site_label
_atom_site_fract_x
_atom_site_fract_y
_atom_site_fract_z
_atom_site_occupancy
Be1 0.0000 0.0000 0.0000 1
B1 0.5000 0.5000 0.5000 1
H1 0.0000 0.5000 0.5000 1
```

Properties
crystal system: cubic
D(E_F): 0.23 states/eV/atom


Energies relative to the most stable structure are a 161; b 0, reported in meV per atom.